# 1
An optimized crystal structure of Th3Sb2Os. Source: Alexandria, functional PBE-GGA.

- M_tot (μB/f.u.) = 0.0
- Fermi-level density of states (states/eV/f.u.) = 4.525
- V (Å³/f.u.) = 180.63
- energy relative to the elements, uncorrected (eV/atom) = -0.6723

Structure (CIF):
```
data_Th3Sb2Os
_chemical_formula_sum 'Th6 Sb4 Os2'
_space_group_name_H-M_alt 'I m m m'
_space_group_IT_number 71
_space_group_name_Hall '-I 2 2'
_cell_length_a 4.242
_cell_length_b 6.312
_cell_length_c 13.492
_cell_angle_alpha 90.00
_cell_angle_beta 90.00
_cell_angle_gamma 90.00
loop_
_atom_site_label
_atom_site_type_symbol
_atom_site_fract_x
_atom_site_fract_y
_atom_site_fract_z
Th1 Th 0.000 0.000 0.000
Th2 Th 0.000 0.000 0.362
Sb1 Sb 0.000 0.500 0.321
Os1 Os 0.000 0.500 0.000
```

# 2
An optimized crystal structure of Th6SbOs3. Source: Alexandria, functional PBE-GGA.

- M_tot (μB/f.u.) = 0.0
- Fermi-level density of states (states/eV/f.u.) = 7.578
- V (Å³/f.u.) = 292.65
- energy relative to the elements, uncorrected (eV/atom) = -0.4115

Structure (CIF):
```
data_Th6SbOs3
_chemical_formula_sum 'Th12 Sb2 Os6'
_space_group_name_H-M_alt 'P 1 21/m 1'
_space_group_IT_number 11
_cell_length_a 11.828
_cell_length_b 4.256
_cell_length_c 12.135
_cell_angle_alpha 90.00
_cell_angle_beta 106.65
_cell_angle_gamma 90.00
loop_
_space_group_symop_operation_xyz
'x,y,z'
'-x,-y,-z'
'-x,y+1/2,-z'
'x,-y+1/2,z'
loop_
_atom_site_label
_atom_site_type_symbol
_atom_site_fract_x
_atom_site_fract_y
_atom_site_fract_z
Th1 Th 0.022 0.250 0.389
Th2 Th 0.110 0.250 0.953
Th3 Th 0.205 0.750 0.262
Th4 Th 0.286 0.750 0.770
Th5 Th 0.349 0.250 0.540
Th6 Th 0.420 0.750 0.090
Sb1 Sb 0.447 0.250 0.312
Os1 Os 0.038 0.250 0.166
Os2 Os 0.178 0.750 0.497
Os3 Os 0.345 0.250 0.922
```

# 3
An optimized crystal structure of Th6Sb3Os. Source: Alexandria, functional PBE-GGA.

- M_tot (μB/f.u.) = 0.0
- Fermi-level density of states (states/eV/f.u.) = 8.876
- V (Å³/f.u.) = 302.82
- energy relative to the elements, uncorrected (eV/atom) = -0.3851

Structure (CIF):
```
data_Th6Sb3Os
_chemical_formula_sum 'Th24 Sb12 Os4'
_space_group_name_H-M_alt 'C m c 21'
_space_group_IT_number 36
_cell_length_a 11.190
_cell_length_b 16.589
_cell_length_c 6.526
_cell_angle_alpha 90.00
_cell_angle_beta 90.00
_cell_angle_gamma 90.00
loop_
_space_group_symop_operation_xyz
'x,y,z'
'-x,-y,z+1/2'
'-x,y,z'
'x,-y,z+1/2'
'x+1/2,y+1/2,z'
'-x+1/2,-y+1/2,z+1/2'
'-x+1/2,y+1/2,z'
'x+1/2,-y+1/2,z+1/2'
loop_
_atom_site_label
_atom_site_type_symbol
_atom_site_fract_x
_atom_site_fract_y
_atom_site_fract_z
Th1 Th 0.000 0.008 0.000
Th2 Th 0.000 0.241 0.425
Th3 Th 0.155 0.251 0.944
Th4 Th 0.192 0.425 0.242
Sb1 Sb 0.000 0.422 0.828
Sb2 Sb 0.197 0.104 0.253
Os1 Os 0.000 0.137 0.738
```

# 4
An optimized crystal structure of Th8Sb2Os. Source: Alexandria, functional PBE-GGA.

- M_tot (μB/f.u.) = 0.0
- Fermi-level density of states (states/eV/f.u.) = 13.184
- V (Å³/f.u.) = 340.42
- energy relative to the elements, uncorrected (eV/atom) = -0.3094

Structure (CIF):
```
data_Th8Sb2Os
_chemical_formula_sum 'Th16 Sb4 Os2'
_space_group_name_H-M_alt 'C 1 2/m 1'
_space_group_IT_number 12
_cell_length_a 18.590
_cell_length_b 4.511
_cell_length_c 8.166
_cell_angle_alpha 90.00
_cell_angle_beta 96.12
_cell_angle_gamma 90.00
loop_
_space_group_symop_operation_xyz
'x,y,z'
'-x,-y,-z'
'-x,y,-z'
'x,-y,z'
'x+1/2,y+1/2,z'
'-x+1/2,-y+1/2,-z'
'-x+1/2,y+1/2,-z'
'x+1/2,-y+1/2,z'
loop_
_atom_site_label
_atom_site_type_symbol
_atom_site_fract_x
_atom_site_fract_y
_atom_site_fract_z
Th1 Th 0.003 0.000 0.224
Th2 Th 0.093 0.500 0.506
Th3 Th 0.151 0.500 0.032
Th4 Th 0.210 0.000 0.357
Sb1 Sb 0.180 0.000 0.758
Os1 Os 0.000 0.500 0.000
```

> Look up the M_tot of the third one.

0.0 μB/f.u.

> Number 3 is which compound?

Th6Sb3Os

> Which formula does entry 4 have?

Th8Sb2Os